Entry 1:
Li2ZnSi2: optimized geometry, PBE.

Computed properties:
DFT total energy = -0.22771 Ry/atom
V = 153.1 Å³ per cell
Density of states at the Fermi level = 3.0 states/eV/cell
Crystal system = tetragonal
Formation energy without anion corrections = 0.091 eV/atom
Total magnetization = 0.00 μB per atom

a = 7.816 Å, b = 7.816 Å, c = 2.506 Å
α = 90.00°, β = 90.00°, γ = 90.00°
Atoms (fractional coordinates):
Zn  0.000  0.000  0.000
Zn  0.500  0.500  0.000
Si  0.186  0.686  0.500
Si  0.686  0.814  0.500
Si  0.814  0.314  0.500
Si  0.314  0.186  0.500
Li  0.389  0.889  0.000
Li  0.889  0.611  0.000
Li  0.611  0.111  0.000
Li  0.111  0.389  0.000

***

Entry 2:
LiZn2Si: optimized geometry, PBE.

Computed properties:
DFT total energy = -0.18132 Ry/atom
V = 60.1 Å³ per cell
Density of states at the Fermi level = 1.2 states/eV/cell
Crystal system = tetragonal
Formation energy without anion corrections = 0.004 eV/atom
Total magnetization = 0.00 μB per atom

a = 3.394 Å, b = 3.394 Å, c = 5.220 Å
α = 90.00°, β = 90.00°, γ = 90.00°
Atoms (fractional coordinates):
Li  0.500  0.500  0.250
Si  0.500  0.500  0.750
Zn  0.000  0.000  0.001
Zn  0.000  0.000  0.499

***

Entry 3:
LiZn2Si: optimized geometry, PBE.

Computed properties:
DFT total energy = -0.18398 Ry/atom
V = 58.1 Å³ per cell
Density of states at the Fermi level = 1.2 states/eV/cell
Crystal system = tetragonal
Formation energy without anion corrections = -0.032 eV/atom
Total magnetization = 0.00 μB per atom

a = 4.744 Å, b = 4.744 Å, c = 4.744 Å
α = 131.85°, β = 131.85°, γ = 70.46°
Atoms (fractional coordinates):
Li  0.500  0.500  0.000
Si  0.250  0.750  0.500
Zn  0.000  0.000  0.000
Zn  0.750  0.250  0.500

***

Entry 4:
Li3ZnSi: optimized geometry, PBE.

Computed properties:
Energy above the most stable polymorph in this dataset = 0.000 eV per atom
DFT total energy = -0.19396 Ry/atom
V = 147.9 Å³ per cell
Density of states at the Fermi level = 2.2 states/eV/cell
Crystal system = triclinic
Formation energy without anion corrections = -0.151 eV/atom
Total magnetization = 0.00 μB per atom

a = 4.836 Å, b = 5.602 Å, c = 5.998 Å
α = 103.67°, β = 103.43°, γ = 71.99°
Atoms (fractional coordinates):
Li  0.597  0.394  0.201
Li  0.803  0.184  0.594
Li  0.000  0.000  0.000
Li  0.403  0.606  0.799
Li  0.197  0.816  0.406
Li  0.000  0.500  0.000
Zn  0.789  0.695  0.579
Zn  0.211  0.305  0.421
Si  0.429  0.082  0.812
Si  0.571  0.918  0.188

***

Entry 5:
LiZn2Si: optimized geometry, PBE.

Computed properties:
DFT total energy = -0.18330 Ry/atom
V = 58.4 Å³ per cell
Density of states at the Fermi level = 0.5 states/eV/cell
Crystal system = orthorhombic
Formation energy without anion corrections = -0.023 eV/atom
Total magnetization = 0.00 μB per atom

a = 2.754 Å, b = 3.924 Å, c = 5.401 Å
α = 90.00°, β = 90.00°, γ = 90.00°
Atoms (fractional coordinates):
Li  0.000  0.000  0.502
Si  0.500  0.500  0.743
Zn  0.000  0.000  0.001
Zn  0.500  0.500  0.254

***

Entry 6:
LiZn2Si: optimized geometry, PBE.

Computed properties:
DFT total energy = -0.18116 Ry/atom
V = 60.1 Å³ per cell
Density of states at the Fermi level = 0.9 states/eV/cell
Crystal system = monoclinic
Formation energy without anion corrections = 0.006 eV/atom
Total magnetization = 0.00 μB per atom

a = 4.625 Å, b = 4.625 Å, c = 5.257 Å
α = 79.24°, β = 79.24°, γ = 33.01°
Atoms (fractional coordinates):
Li  0.504  0.504  0.494
Si  0.257  0.257  0.263
Zn  0.994  0.994  0.995
Zn  0.746  0.746  0.748

***

Entry 7:
LiZn2Si: optimized geometry, PBE.

Computed properties:
DFT total energy = -0.17690 Ry/atom
V = 59.5 Å³ per cell
Density of states at the Fermi level = 1.3 states/eV/cell
Crystal system = trigonal
Formation energy without anion corrections = 0.064 eV/atom
Total magnetization = 0.00 μB per atom

a = 9.578 Å, b = 9.578 Å, c = 9.578 Å
α = 16.19°, β = 16.19°, γ = 16.19°
Atoms (fractional coordinates):
Li  0.250  0.250  0.250
Si  0.750  0.750  0.750
Zn  0.997  0.997  0.997
Zn  0.503  0.503  0.503

***

Entry 8:
LiZnSi: optimized geometry, PBE.

Computed properties:
DFT total energy = -0.21290 Ry/atom
V = 50.3 Å³ per cell
Density of states at the Fermi level = 1.8 states/eV/cell
Crystal system = cubic
Formation energy without anion corrections = -0.026 eV/atom
Total magnetization = 0.00 μB per atom

a = 4.145 Å, b = 4.145 Å, c = 4.145 Å
α = 60.00°, β = 60.00°, γ = 60.00°
Atoms (fractional coordinates):
Li  0.500  0.500  0.500
Si  0.750  0.750  0.750
Zn  0.000  0.000  0.000